A plane-wave DFT calculation with GGA-PBE was carried out for Ti3GaRh after structural relaxation.

The formation energy from the elements is 0.721 eV/atom. As for the energy above the most stable polymorph in this dataset: 486 meV per atom.

The structure belongs to space group Pm-3m (No. 221); the cell edges are 4.6195, 4.6195 and 4.6195 Å and the angles 90.00°, 90.00° and 90.00°. The asymmetric unit holds Ti at (0.0000, 0.0000, 0.5000), Ga at (0.0000, 0.0000, 0.0000) and Rh at (0.5000, 0.5000, 0.5000).